OsRu7: relaxed, PBE-GGA.

```
OsRu7
1.0
0.000 3.828 3.828
3.828 0.000 3.828
3.828 3.828 0.000
Os Ru
1 7
direct
0.000 0.000 0.000
0.000 0.000 0.500
0.000 0.500 0.000
0.000 0.500 0.500
0.500 0.000 0.000
0.500 0.000 0.500
0.500 0.500 0.000
0.500 0.500 0.500
```

Computed properties:
ΔE_f in eV per atom: 0.14
Uncorrected energy in eV/atom: -9.381
N(E_F) in states/eV/f.u.: 14.3
Space-group type: Fm-3m, No. 225
Calculated density in g cm⁻³: 13.29

=====

BaAc2NdIn4: relaxed, PBE-GGA.

```
BaAc2NdIn4
1.0
2.888 1.667 9.454
-2.888 1.667 9.454
0.000 -3.334 9.454
Ba Ac Nd In
1 2 1 4
direct
0.000 0.000 0.000
0.252 0.252 0.252
0.748 0.748 0.748
0.500 0.500 0.500
0.129 0.129 0.129
0.381 0.381 0.381
0.619 0.619 0.619
0.871 0.871 0.871
```

Computed properties:
ΔE_f in eV per atom: -0.39
Uncorrected energy in eV/atom: -3.625
N(E_F) in states/eV/f.u.: 6.3
Space-group type: R-3m, No. 166
Calculated density in g cm⁻³: 7.27

=====

Na3Pd8Pb: relaxed, PBE-GGA.

```
Na3Pd8Pb
1.0
2.701 1.559 8.825
-2.701 1.559 8.825
0.000 -3.118 8.825
Na Pd Pb
3 8 1
direct
0.000 0.000 0.000
0.123 0.123 0.123
0.628 0.628 0.628
0.063 0.063 0.562
0.063 0.562 0.063
0.065 0.563 0.563
0.313 0.313 0.313
0.562 0.063 0.063
0.563 0.065 0.563
0.563 0.563 0.065
0.813 0.813 0.813
0.502 0.502 0.502
```

Computed properties:
ΔE_f in eV per atom: -0.18
Uncorrected energy in eV/atom: -4.281
N(E_F) in states/eV/f.u.: 10.6
Space-group type: R3m, No. 160
Calculated density in g cm⁻³: 8.40

=====

AcSn: relaxed, PBE-GGA.

```
AcSn
1.0
5.017 0.000 0.000
0.000 12.391 0.000
0.000 0.000 4.579
Ac Sn
4 4
direct
0.000 0.138 0.250
0.000 0.862 0.750
0.500 0.362 0.750
0.500 0.638 0.250
0.000 0.416 0.250
0.000 0.584 0.750
0.500 0.084 0.750
0.500 0.916 0.250
```

Computed properties:
ΔE_f in eV per atom: -0.71
Uncorrected energy in eV/atom: -4.770
N(E_F) in states/eV/f.u.: 2.0
Space-group type: Cmcm, No. 63
Calculated density in g cm⁻³: 8.07

=====

Cs4NaU3Se8: relaxed, PBE-GGA.

```
Cs4NaU3Se8
1.0
4.344 2.508 8.330
-4.344 2.508 8.330
0.000 -5.016 8.330
Cs Na U Se
4 1 3 8
direct
0.000 0.000 0.000
0.000 0.500 0.500
0.500 0.000 0.500
0.500 0.500 0.000
0.500 0.500 0.500
0.000 0.000 0.500
0.000 0.500 0.000
0.500 0.000 0.000
0.209 0.737 0.737
0.229 0.229 0.229
0.263 0.263 0.791
0.263 0.791 0.263
0.737 0.209 0.737
0.737 0.737 0.209
0.771 0.771 0.771
0.791 0.263 0.263
```

Computed properties:
Uncorrected energy in eV/atom: -5.394
N(E_F) in states/eV/f.u.: 11.6
Space-group type: R-3m, No. 166
Raw formation energy in eV per atom: -1.24
Calculated density in g cm⁻³: 5.80

=====

ZrTa4S8: relaxed, PBE-GGA.

```
ZrTa4S8
1.0
3.425 1.977 6.100
-3.425 1.977 6.100
0.000 -3.955 6.100
Zr Ta S
1 4 8
direct
0.000 0.000 0.000
0.000 0.000 0.500
0.000 0.500 0.000
0.500 0.000 0.000
0.500 0.500 0.500
0.249 0.249 0.249
0.255 0.255 0.737
0.255 0.737 0.255
0.263 0.745 0.745
0.737 0.255 0.255
0.745 0.263 0.745
0.745 0.745 0.263
0.751 0.751 0.751
```

Computed properties:
Uncorrected energy in eV/atom: -7.897
N(E_F) in states/eV/f.u.: 5.3
Space-group type: R-3m, No. 166
Raw formation energy in eV per atom: -1.05
Calculated density in g cm⁻³: 7.18

=====

ZnCo2Re2: relaxed, PBE-GGA.

```
ZnCo2Re2
1.0
3.748 0.000 0.000
0.000 3.748 0.000
0.000 0.000 10.451
Zn Co Re
2 4 4
direct
0.000 0.000 0.000
0.500 0.500 0.500
0.000 0.000 0.400
0.000 0.000 0.600
0.500 0.500 0.100
0.500 0.500 0.900
0.000 0.500 0.250
0.000 0.500 0.750
0.500 0.000 0.250
0.500 0.000 0.750
```

Computed properties:
ΔE_f in eV per atom: 0.49
Uncorrected energy in eV/atom: -7.585
Polymorph energy (0 for the lowest one) in meV per atom: 225
N(E_F) in states/eV/f.u.: 6.8
Space-group type: I4/mmm, No. 139
Calculated density in g cm⁻³: 12.57

=====

Pu2Tc2Ge2C: relaxed, PBE-GGA.

```
Pu2Tc2Ge2C
1.0
11.113 0.000 0.000
0.000 3.940 0.000
-4.160 0.000 5.778
Pu Tc Ge C
4 4 4 2
direct
0.065 0.000 0.287
0.435 0.500 0.713
0.565 0.500 0.287
0.935 0.000 0.713
0.199 0.500 0.077
0.301 0.000 0.923
0.699 0.000 0.077
0.801 0.500 0.923
0.145 0.500 0.674
0.355 0.000 0.326
0.645 0.000 0.674
0.855 0.500 0.326
0.000 0.500 0.000
0.500 0.000 0.000
```

Computed properties:
ΔE_f in eV per atom: -0.34
Uncorrected energy in eV/atom: -10.033
N(E_F) in states/eV/f.u.: 19.8
Space-group type: C2/m, No. 12
Calculated density in g cm⁻³: 11.04

=====

TaRe3Rh: relaxed, PBE-GGA.

```
TaRe3Rh
1.0
4.688 0.000 0.000
0.000 4.688 0.000
0.000 0.000 4.688
Ta Re Rh
1 3 1
direct
0.000 0.000 0.000
0.000 0.000 0.500
0.000 0.500 0.000
0.500 0.000 0.000
0.500 0.500 0.500
```

Computed properties:
ΔE_f in eV per atom: 2.43
Uncorrected energy in eV/atom: -8.879
Polymorph energy (0 for the lowest one) in meV per atom: 303
N(E_F) in states/eV/f.u.: 6.7
Space-group type: Pm-3m, No. 221
Calculated density in g cm⁻³: 13.58

=====

SrLa2Mn: relaxed, PBE-GGA.

```
SrLa2Mn
1.0
3.800 0.000 0.000
0.000 3.800 0.000
0.000 0.000 9.532
Sr La Mn
1 2 1
direct
0.000 0.000 0.000
0.000 0.000 0.601
0.500 0.500 0.333
0.500 0.500 0.777
```

Computed properties:
ΔE_f in eV per atom: 0.27
Uncorrected energy in eV/atom: -4.907
Polymorph energy (0 for the lowest one) in meV per atom: 61
N(E_F) in states/eV/f.u.: 5.8
Space-group type: P4mm, No. 99
Calculated density in g cm⁻³: 5.07

=====

Ho2Ga6Ni: relaxed, PBE-GGA.

```
Ho2Ga6Ni
1.0
3.683 0.000 0.000
0.000 2.070 11.574
0.000 -2.070 11.574
Ho Ga Ni
2 6 1
direct
0.000 0.000 0.000
0.000 0.330 0.330
0.000 0.617 0.617
0.000 0.731 0.731
0.500 0.110 0.110
0.500 0.220 0.220
0.500 0.442 0.442
0.500 0.880 0.880
0.500 0.546 0.546
```

Computed properties:
ΔE_f in eV per atom: -0.40
Uncorrected energy in eV/atom: -4.082
N(E_F) in states/eV/f.u.: 4.9
Space-group type: Amm2, No. 38
Calculated density in g cm⁻³: 7.59

=====

NdDyPu2S4: relaxed, PBE-GGA.

```
NdDyPu2S4
1.0
6.835 0.000 0.000
0.000 3.969 0.000
-2.319 0.000 6.543
Nd Dy Pu S
1 1 2 4
direct
0.000 0.000 0.000
0.000 0.500 0.500
0.500 0.000 0.500
0.500 0.500 0.000
0.250 0.000 0.745
0.255 0.500 0.259
0.745 0.500 0.741
0.750 0.000 0.255
```

Computed properties:
Uncorrected energy in eV/atom: -8.716
N(E_F) in states/eV/f.u.: 15.3
Space-group type: P2/m, No. 10
Raw formation energy in eV per atom: -1.90
Calculated density in g cm⁻³: 8.64

=====

AlSi2Te: relaxed, PBE-GGA.

```
AlSi2Te
1.0
4.685 0.000 0.000
0.000 4.685 0.000
0.000 0.000 7.021
Al Si Te
2 4 2
direct
0.000 0.000 0.000
0.500 0.500 0.500
0.000 0.000 0.500
0.000 0.500 0.750
0.500 0.000 0.250
0.500 0.500 0.000
0.000 0.500 0.250
0.500 0.000 0.750
```

Computed properties:
Uncorrected energy in eV/atom: -3.895
Polymorph energy (0 for the lowest one) in meV per atom: 403
N(E_F) in states/eV/f.u.: 1.9
Space-group type: I-4m2, No. 119
Raw formation energy in eV per atom: 0.54
Calculated density in g cm⁻³: 4.54

=====

Al2CdSn: relaxed, PBE-GGA.

```
Al2CdSn
1.0
7.930 0.000 0.000
0.000 7.930 0.000
0.000 0.000 5.860
Al Cd Sn
8 4 4
direct
0.242 0.750 0.125
0.250 0.242 0.875
0.250 0.258 0.375
0.258 0.750 0.625
0.742 0.250 0.625
0.750 0.742 0.375
0.750 0.758 0.875
0.758 0.250 0.125
0.000 0.000 0.500
0.000 0.500 0.750
0.500 0.000 0.250
0.500 0.500 0.000
0.000 0.000 0.000
0.000 0.500 0.250
0.500 0.000 0.750
0.500 0.500 0.500
```

Computed properties:
ΔE_f in eV per atom: 0.25
Uncorrected energy in eV/atom: -2.847
N(E_F) in states/eV/f.u.: 2.2
Space-group type: I-42d, No. 122
Calculated density in g cm⁻³: 5.14

=====

MnV2Ga: relaxed, PBE-GGA.

```
MnV2Ga
1.0
3.062 0.000 0.000
0.000 4.105 0.000
0.000 0.000 8.190
Mn V Ga
2 4 2
direct
0.000 0.000 0.000
0.500 0.500 0.500
0.000 0.500 0.268
0.000 0.500 0.732
0.500 0.000 0.232
0.500 0.000 0.768
0.000 0.000 0.500
0.500 0.500 0.000
```

Computed properties:
ΔE_f in eV per atom: -0.19
Uncorrected energy in eV/atom: -7.794
N(E_F) in states/eV/f.u.: 3.3
Space-group type: Immm, No. 71
Calculated density in g cm⁻³: 7.31